[1]
## Cs2BaCuIr (PBE-GGA)

Data for crystalline Cs2BaCuIr at its relaxed geometry.

The space group is P4/mmm (No. 123) and the conventional cell measures 6.6607, 6.6607 and 5.7515 Å, with angles of 90.00, 90.00 and 90.00 degrees. The inequivalent atoms are Cs at (0.0000, 0.5000, 0.0000), Ba at (0.0000, 0.0000, 0.5000), Cu at (0.5000, 0.5000, 0.5000) and Ir at (0.0000, 0.0000, 0.0000).

The energy comes out at -2.739 eV per atom.

---

[2]
## CsK2BaCu (PBE-GGA)

Data for crystalline CsK2BaCu at its relaxed geometry.

The space group is P4/mmm (No. 123) and the conventional cell measures 6.9396, 6.9396 and 6.3992 Å, with angles of 90.00, 90.00 and 90.00 degrees. The inequivalent atoms are Cs at (0.0000, 0.0000, 0.0000), K at (0.0000, 0.5000, 0.5000), Ba at (0.5000, 0.5000, 0.0000) and Cu at (0.5000, 0.5000, 0.5000).

The energy comes out at -1.624 eV per atom.